[1]
Density functional theory data (PBE) for a geometry-optimized Y3InSn2IrPt2 structure.

E_tot: -6.67 eV/atom
Mass density: 10.17 g cm⁻³

extended XYZ file:
```
9
Lattice="3.891 0.000 0.000 0.000 6.600 3.820 0.000 -6.600 3.820" Properties=species:S:1:pos:R:3 pbc="T T T"
Y 0.000 0.000 0.000
Y 0.000 -2.652 2.978
Y 0.000 2.652 2.978
In 1.945 0.000 2.550
Sn 1.945 -1.706 5.509
Sn 1.945 1.706 5.509
Ir 0.000 0.000 4.591
Pt 1.945 -4.390 4.519
Pt 1.945 4.390 4.519
```

[2]
Density functional theory data (PBE) for a geometry-optimized Er2CuPb6 structure.

E_tot: -4.06 eV/atom
Mass density: 10.98 g cm⁻³

extended XYZ file:
```
9
Lattice="2.311 -11.440 0.000 2.311 11.440 0.000 0.000 0.000 4.693" Properties=species:S:1:pos:R:3 pbc="T T T"
Er 2.311 7.223 0.000
Er 2.311 -7.223 0.000
Cu 2.311 0.000 2.346
Pb 2.311 9.709 2.346
Pb 2.311 4.589 2.346
Pb 2.311 1.686 0.000
Pb 2.311 -1.686 0.000
Pb 2.311 -4.589 2.346
Pb 2.311 -9.709 2.346
```

[3]
Density functional theory data (PBE) for a geometry-optimized NbHgTe structure.

Excess energy over the best structure of this formula in the dataset: 0.00 kcal/mol of atoms
Mass density: 9.14 g cm⁻³

extended XYZ file:
```
3
Lattice="0.000 3.369 3.369 3.369 0.000 3.369 3.369 3.369 0.000" Properties=species:S:1:pos:R:3 pbc="T T T"
Nb 0.000 0.000 0.000
Hg 1.684 1.684 1.684
Te 5.053 5.053 5.053
```

[4]
Density functional theory data (PBE) for a geometry-optimized Al2CdO4 structure.

E_tot: -6.36 eV/atom
Mass density: 5.23 g cm⁻³

extended XYZ file:
```
28
Lattice="5.949 0.000 0.000 0.000 5.949 0.000 0.000 0.000 8.260" Properties=species:S:1:pos:R:3 pbc="T T T"
Al 0.000 1.474 0.000
Al 0.000 4.474 4.130
Al 1.404 1.404 3.098
Al 1.404 4.545 1.033
Al 1.474 0.000 6.195
Al 4.474 0.000 2.065
Al 4.545 1.404 5.163
Al 4.545 4.545 7.228
Cd 1.520 2.974 6.195
Cd 2.974 1.520 0.000
Cd 2.974 4.429 4.130
Cd 4.429 2.974 2.065
O 0.017 1.295 6.333
O 0.017 4.654 6.057
O 1.264 2.939 0.235
O 1.264 3.010 3.895
O 1.295 0.017 8.122
O 1.295 5.932 4.268
O 2.939 1.264 5.960
O 2.939 4.685 6.430
O 3.010 1.264 2.300
O 3.010 4.685 1.830
O 4.654 0.017 0.138
O 4.654 5.932 3.992
O 4.685 2.939 8.025
O 4.685 3.010 4.365
O 5.932 1.295 1.927
O 5.932 4.654 2.203
```